VASP calculation (GGA-PBE) on Pd7Pb4Au after structural relaxation.

Results
Electronic total energy: -4.64 eV/atom
Calculated volume: 245 Å³ per cell
Total magnetic moment: 0.00 μB/f.u.
N(E_F): 0.43 states/eV/atom

Cell lengths 6.118, 6.118, 9.976 Å; angles 117.74, 117.74, 49.79 degrees
Fractional positions:
1 Pd 0.000 0.000 0.000
2 Pd 0.134 0.134 0.519
3 Pd 0.296 0.296 0.086
4 Pd 0.422 0.422 0.680
5 Pd 0.578 0.578 0.320
6 Pd 0.704 0.704 0.914
7 Pd 0.866 0.866 0.481
8 Pb 0.094 0.094 0.780
9 Pb 0.260 0.260 0.337
10 Pb 0.740 0.740 0.663
11 Pb 0.906 0.906 0.220
12 Au 0.500 0.500 0.000